{
  "formula": "B2SeF",
  "functional": "PBE",
  "state": "relaxed",
  "cell": [[5.1949, 0.0000, 0.0000], [0.0000, 5.1949, 0.0000], [2.5975, 2.5975, 3.9569]],
  "species": ["B", "B", "B", "B", "Se", "Se", "F", "F"],
  "frac_coords": [[0.6208, 0.1250, 0.2500], [0.1292, 0.6250, 0.2500], [0.3750, 0.3792, 0.7500], [0.8750, 0.8708, 0.7500], [0.0000, 0.0000, 0.0000], [0.7500, 0.2500, 0.5000], [0.5000, 0.5000, 0.0000], [0.2500, 0.7500, 0.5000]]
}

=====

{
  "formula": "BSe2F",
  "functional": "PBE",
  "state": "relaxed",
  "cell": [[5.6918, 0.0000, 0.0000], [0.0000, 5.6918, 0.0000], [2.8459, 2.8459, 4.3902]],
  "species": ["B", "B", "Se", "Se", "Se", "Se", "F", "F"],
  "frac_coords": [[0.5000, 0.5000, 0.0000], [0.2500, 0.7500, 0.5000], [0.5556, 0.1250, 0.2500], [0.1944, 0.6250, 0.2500], [0.3750, 0.4444, 0.7500], [0.8750, 0.8056, 0.7500], [0.0000, 0.0000, 0.0000], [0.7500, 0.2500, 0.5000]]
}

=====

{
  "formula": "BSe2F",
  "functional": "PBE",
  "state": "relaxed",
  "cell": [[1.9166, 0.0000, 6.8907], [-0.9583, 1.6599, 6.8907], [-0.9583, -1.6599, 6.8907]],
  "species": ["B", "Se", "Se", "F"],
  "frac_coords": [[0.5000, 0.5000, 0.5000], [0.8942, 0.8942, 0.8942], [0.1058, 0.1058, 0.1058], [0.0000, 0.0000, 0.0000]]
}

=====

{
  "formula": "B2SeF",
  "functional": "PBE",
  "state": "relaxed",
  "cell": [[0.0000, 2.7873, 2.7873], [2.7873, 0.0000, 2.7873], [2.7873, 2.7873, 0.0000]],
  "species": ["B", "B", "Se", "F"],
  "frac_coords": [[0.2500, 0.2500, 0.2500], [0.7500, 0.7500, 0.7500], [0.5000, 0.5000, 0.5000], [0.0000, 0.0000, 0.0000]]
}

=====

{
  "formula": "BSe2F3",
  "functional": "PBE",
  "state": "relaxed",
  "cell": [[-5.2337, -0.7408, -2.1031], [4.6968, -2.5775, -1.9132], [-1.0523, -4.7413, 9.1738]],
  "species": ["B", "B", "Se", "Se", "Se", "Se", "F", "F", "F", "F", "F", "F"],
  "frac_coords": [[0.2323, 0.7677, 0.2500], [0.7677, 0.2323, 0.7500], [0.8955, 0.6103, 0.0756], [0.3896, 0.1045, 0.4244], [0.1045, 0.3896, 0.9244], [0.6103, 0.8955, 0.5756], [0.9237, 0.8738, 0.6135], [0.1262, 0.0763, 0.8865], [0.0763, 0.1262, 0.3865], [0.8738, 0.9237, 0.1135], [0.3640, 0.6360, 0.2500], [0.6360, 0.3640, 0.7500]]
}

=====

{
  "formula": "BSeF2",
  "functional": "PBE",
  "state": "relaxed",
  "cell": [[1.6333, 0.0000, 10.0799], [-0.8167, 1.4145, 10.0799], [-0.8167, -1.4145, 10.0799]],
  "species": ["B", "Se", "F", "F"],
  "frac_coords": [[0.0000, 0.0000, 0.0000], [0.5000, 0.5000, 0.5000], [0.9561, 0.9561, 0.9561], [0.0439, 0.0439, 0.0439]]
}

=====

{
  "formula": "BSeF3",
  "functional": "PBE",
  "state": "relaxed",
  "cell": [[3.8932, 0.0000, 0.0000], [0.0000, 3.8932, 0.0000], [0.0000, 0.0000, 3.8932]],
  "species": ["B", "Se", "F", "F", "F"],
  "frac_coords": [[0.0000, 0.0000, 0.0000], [0.5000, 0.5000, 0.5000], [0.0000, 0.5000, 0.0000], [0.0000, 0.0000, 0.5000], [0.5000, 0.0000, 0.0000]]
}

=====

Computed values of uncorrected formation energy (unit: eV per atom) for the preceding records, in sequence: 1.00, -0.07, 0.08, 1.09, -1.13, -0.84, -0.23.